First-principles (PBE-GGA) data for an optimized crystal structure of NaPbI, as listed in the Alexandria database.

Cell lengths 5.1093, 5.1177, 11.9542 Å; angles 77.97, 89.85, 60.22 degrees
Closest atoms and distances in Å follow each position.
Space group P-1 (No. 2)
One atom of each set of equivalent atoms:
Na 0.2029 0.0928 0.1174 (multiplicity 2)  4 I 2.99-3.21
Pb 0.3448 0.8089 0.5369 (multiplicity 2)  3 Pb 3.08
I 0.1175 0.2687 0.8410 (multiplicity 2)  4 Na 2.99-3.21

Properties
Volume, Å³/atom: 43.909
ΔE_f (raw), meV/atom: -598
Total magnetic moment, μB/f.u.: 0.0
ρ, g/cm³: 4.50

First-principles (PBE-GGA) data for an optimized crystal structure of NaPb2I, as listed in the Alexandria database.

Cell lengths 8.0724, 8.0724, 8.0724 Å; angles 90.00, 90.00, 90.00 degrees
Closest atoms and distances in Å follow each position.
Space group Fm-3m (No. 225)
One atom of each set of equivalent atoms:
Na 0.0000 0.0000 0.0000 (multiplicity 4)  8 Pb 3.50
Pb 0.2500 0.2500 0.2500 (multiplicity 8)  4 Na 3.50, 4 I 3.50
I 0.0000 0.0000 0.5000 (multiplicity 4)  8 Pb 3.50

Properties
Volume, Å³/atom: 32.877
ΔE_f (raw), meV/atom: 107
Total magnetic moment, μB/f.u.: 0.0
ρ, g/cm³: 7.13